Here is an optimized crystal structure of Pm3Ho6Th2Sc from the Alexandria database. Energies are from PBE-GGA.

## Properties
- ΔE_f: 24 meV per atom

a b c (Å): 6.132 10.618 11.741
angles (deg): 90.00 100.04 90.00
Space group C2/m (No. 12)
Symmetry-distinct sites (fractional):
Pm1 0.000 0.000 0.000 [2 per cell]
Pm2 0.000 0.334 0.000 [4 per cell]
Ho1 0.247 0.000 0.744 [4 per cell]
Ho2 0.248 0.333 0.744 [8 per cell]
Th1 0.000 0.166 0.500 [4 per cell]
Sc1 0.000 0.500 0.500 [2 per cell]

Here is an optimized crystal structure of NaTiNiSn2 from the Alexandria database. Energies are from PBE-GGA.

## Properties
- ΔE_f: 1403 meV per atom

a b c (Å): 5.131 5.131 4.822
angles (deg): 90.00 90.00 90.00
Space group P4/mmm (No. 123)
Symmetry-distinct sites (fractional):
Na1 0.000 0.000 0.000 [1 per cell]
Ti1 0.000 0.000 0.500 [1 per cell]
Ni1 0.500 0.500 0.500 [1 per cell]
Sn1 0.000 0.500 0.000 [2 per cell]

Here is an optimized crystal structure of PuU2P4 from the Alexandria database. Energies are from PBE-GGA.

## Properties
- Energy above the most stable polymorph in this dataset: 0.000 eV per atom
- ΔE_f: -980 meV per atom

a b c (Å): 8.187 8.187 8.198
angles (deg): 90.00 90.00 90.00
Space group I-42d (No. 122)
Symmetry-distinct sites (fractional):
Pu1 0.000 0.000 0.000 [4 per cell]
U1 0.128 0.250 0.625 [8 per cell]
P1 0.080 0.169 0.298 [16 per cell]

Here is an optimized crystal structure of Hf3NbNi2N from the Alexandria database. Energies are from PBE-GGA.

## Properties
- Formation energy (no corrections): -0.5981 eV per atom

a b c (Å): 4.204 4.319 12.692
angles (deg): 90.00 90.00 90.00
Space group Immm (No. 71)
Symmetry-distinct sites (fractional):
Hf1 0.000 0.000 0.000 [2 per cell]
Hf2 0.000 0.500 0.184 [4 per cell]
Nb1 0.000 0.000 0.500 [2 per cell]
Ni1 0.000 0.500 0.375 [4 per cell]
N1 0.000 0.500 0.000 [2 per cell]

One value per record, in order, for Fermi-level density of states: 32.687, 6.810, 52.579, 4.804 states/eV/cell.
One value per record, in order, for density: 8.5, 4.8, 10.2, 10.9 g cm⁻³.